The following is a PBE calculation of CaTi6H4O14 after structural relaxation, from the Alexandria database.

Output
As for the symmetry: P1. The value obtained for the total energy is -7.7910 eV per atom. The calculation puts the total magnetization at 1.6 μB/f.u.

a = 8.3229 Å, b = 8.2564 Å, c = 9.3528 Å
α = 79.33°, β = 100.76°, γ = 153.07°
With the nearest neighbours (Å) after each atom.
Sites, in units of the cell vectors:
1 Ca 0.5076 0.5314 0.5276  4 O 2.34-2.45
2 H 0.9822 0.0778 0.7995  1 O 1.01
3 H 0.0844 0.9314 0.2524  1 O 1.02
4 H 0.0217 0.0228 0.9730  1 O 1.02
5 H 0.6864 0.6905 0.1301  1 O 0.98
6 O 0.1928 0.8458 0.0309  2 Ti 1.76-1.91
7 O 0.9275 0.9485 0.1404  1 H 0.98
8 O 0.2587 0.7752 0.7446  4 Ti 2.00-2.09
9 O 0.3087 0.7200 0.4559  3 Ti 1.96-2.19
10 O 0.3621 0.6421 0.1890  3 Ti 1.95-2.09
11 O 0.7187 0.3207 0.5404  3 Ti 1.97-2.13
12 O 0.1631 0.8939 0.3169  1 H 1.02
13 O 0.7720 0.2543 0.2493  4 Ti 1.99-2.16
14 O 0.8733 0.1433 0.6752  1 H 1.65
15 O 0.6677 0.3794 0.8040  3 Ti 1.96-2.06
16 O 0.0556 0.0390 0.8689  2 H 1.01-1.02
17 O 0.0923 0.9513 0.5959  1 Ti 1.87
18 O 0.8354 0.1836 0.9657  2 Ti 1.78-1.88
19 O 0.9278 0.0930 0.4064  1 Ti 1.83
20 Ti 0.2482 0.7816 0.2092  1 O 1.76
21 Ti 0.7842 0.2458 0.7828  1 O 1.78
22 Ti 0.1939 0.8467 0.5312  5 O 1.87-2.09
23 Ti 0.1554 0.8954 0.8257  5 O 1.91-2.08
24 Ti 0.8698 0.1331 0.1668  5 O 1.88-2.06
25 Ti 0.8341 0.1960 0.4768  4 O 1.83-1.98